# MoPb PBE relaxed
# ΔE to the lowest computed polymorph   314 meV per atom
# Crystal system   orthorhombic
# Total moment   0.00 μB/cell
# Formation energy from the elements   0.640 eV/atom
data_MoPb
_chemical_formula_sum 'Mo4 Pb4'
_symmetry_space_group_name_H-M 'I m m a'
_symmetry_Int_Tables_number 74
_symmetry_space_group_name_Hall '-I 2b 2'
_cell_length_a 3.286
_cell_length_b 4.909
_cell_length_c 11.526
_cell_angle_alpha 90.00
_cell_angle_beta 90.00
_cell_angle_gamma 90.00
loop_
_atom_site_label
_atom_site_type_symbol
_atom_site_fract_x
_atom_site_fract_y
_atom_site_fract_z
Mo1 Mo 0.000 0.250 0.173
Pb1 Pb 0.000 0.250 0.611

# LiDy2Nb2O8 PBE relaxed
# ΔE to the lowest computed polymorph   0 meV per atom
# E_form (uncorrected)   -2831 meV/atom
# Crystal system   triclinic
# Total moment   1.02 μB/cell
data_LiDy2Nb2O8
_chemical_formula_sum 'Li1 Dy2 Nb2 O8'
_symmetry_space_group_name_H-M 'P 1'
_symmetry_Int_Tables_number 1
_cell_length_a 5.978
_cell_length_b 6.027
_cell_length_c 6.034
_cell_angle_alpha 113.04
_cell_angle_beta 107.50
_cell_angle_gamma 107.32
loop_
_symmetry_equiv_pos_as_xyz
'x,y,z'
loop_
_atom_site_label
_atom_site_type_symbol
_atom_site_fract_x
_atom_site_fract_y
_atom_site_fract_z
Li1 Li 0.000 0.000 0.000
Dy1 Dy 0.550 0.415 0.380
Dy2 Dy 0.990 0.123 0.584
Nb1 Nb 0.466 0.843 0.847
Nb2 Nb 0.996 0.585 0.110
O1 O 0.177 0.828 0.536
O2 O 0.189 0.368 0.063
O3 O 0.300 0.916 0.100
O4 O 0.316 0.449 0.617
O5 O 0.703 0.855 0.656
O6 O 0.710 0.278 0.084
O7 O 0.789 0.825 0.129
O8 O 0.829 0.410 0.710